# 1
First-principles (GGA-PBE) data for a relaxed structure of Be2Cr, as listed in the Alexandria database.

Values from the calculation:
calculated formation energy: 32 kJ/mol of formula units
Fermi-level density of states: 6.9 states/eV per cell
magnetic moment: 0.000 μB/cell
offset from the most stable computed form: 0.350 eV per atom

Lattice parameters (Å, degrees): 8.921 2.330 5.698 90.00 105.36 90.00
Space group C2/m (No. 12)
Symmetry-distinct sites (fractional):
1 Be 0.024 0.000 0.322
2 Be 0.191 0.500 0.628
3 Cr 0.133 0.500 0.032

=====

# 2
First-principles (GGA-PBE) data for a relaxed structure of Be7Cr6, as listed in the Alexandria database.

Values from the calculation:
calculated formation energy: -188 kJ/mol of formula units
Fermi-level density of states: 30.4 states/eV per cell
magnetic moment: 0.009 μB/cell

Lattice parameters (Å, degrees): 4.2810 4.2810 23.0633 90.00 90.00 120.00
Space group R-3m (No. 166, hexagonal axes)
Symmetry-distinct sites (fractional):
1 Be 0.0000 0.0000 0.0000
2 Be 0.0046 0.5023 0.4091
3 Cr 0.0000 0.0000 0.1664
4 Cr 0.0000 0.0000 0.3530
5 Cr 0.0000 0.0000 0.4534